A plane-wave DFT calculation with PBE with a Hubbard U was carried out for a geometry-optimized NaCuWF6 structure.

extended XYZ file:
```
18
Lattice="-4.182 3.815 0.544 -1.119 -5.166 -2.096 -1.705 -3.081 8.503" Properties=species:S:1:pos:R:3 pbc="T T T"
Cu 0.000 0.000 0.000
Cu -0.852 -1.541 4.252
Na -4.439 -1.490 6.041
Na -2.566 -2.943 0.910
F -5.358 -0.743 2.372
F -3.523 -5.635 3.498
F -1.806 0.813 1.199
F -4.456 -2.989 4.270
F -2.404 -6.001 6.039
F -3.483 1.203 3.453
F -5.200 -5.246 5.752
F -3.281 -3.340 6.827
F -4.602 1.568 0.912
F -3.725 -1.093 0.123
F -1.648 -3.690 4.579
F -2.550 -1.444 2.680
W -3.587 0.051 1.790
W -3.418 -4.483 5.161
```

Values from the calculation:
Symmetry: P-31c, No. 163
Energy in eV/cell: -89.04
Volume in Å³/atom: 14.32